1.
Here is a geometry-optimized Rb2Na2Sr structure from the Alexandria database. Energies are from PBE.

Properties
Formation enthalpy at 0 K: 102.8 meV/atom
E above lowest polymorph: 0 meV per atom
Size of the total moment: 0.0 μB per formula unit
Energy: -1.1482 eV per atom
N(E_F): 7.09 states/eV per cell

Unit cell a=10.794 b=10.794 c=5.181 alpha=90.00 beta=90.00 gamma=90.00
Sites, in units of the cell vectors:
Rb 0.173 0.327 0.000
Rb 0.327 0.827 0.000
Rb 0.673 0.173 0.000
Rb 0.827 0.673 0.000
Na 0.124 0.624 0.500
Na 0.376 0.124 0.500
Na 0.624 0.876 0.500
Na 0.876 0.376 0.500
Sr 0.000 0.000 0.500
Sr 0.500 0.500 0.500

=====

2.
Here is a geometry-optimized BaZrAl structure from the Alexandria database. Energies are from PBE.

Properties
Formation enthalpy at 0 K: 132.1 meV/atom
E above lowest polymorph: 0 meV per atom
Size of the total moment: 0.0 μB per formula unit
Energy: -4.6057 eV per atom
N(E_F): 2.68 states/eV per cell

Unit cell a=7.933 b=7.933 c=7.933 alpha=155.62 beta=155.62 gamma=34.75
Sites, in units of the cell vectors:
Ba 0.000 0.000 0.000
Zr 0.289 0.289 0.000
Al 0.677 0.677 0.000

=====

3.
Here is a geometry-optimized BaTeP structure from the Alexandria database. Energies are from PBE.

Properties
E above lowest polymorph: 227 meV per atom
E_form (uncorrected): -43 kJ/mol of atoms
Size of the total moment: 0.0 μB per formula unit
Energy: -3.9380 eV per atom
N(E_F): 1.61 states/eV per cell

Unit cell a=6.297 b=6.297 c=6.297 alpha=141.66 beta=141.66 gamma=55.35
Sites, in units of the cell vectors:
Ba 0.000 0.000 0.000
Te 0.292 0.292 0.000
P 0.725 0.725 0.000

=====

4.
Here is a geometry-optimized Mg2OsCl structure from the Alexandria database. Energies are from PBE.

Properties
E above lowest polymorph: 554 meV per atom
E_form (uncorrected): 25 kJ/mol of atoms
Size of the total moment: 0.0 μB per formula unit
Energy: -3.8124 eV per atom
N(E_F): 2.69 states/eV per cell

Unit cell a=2.924 b=2.924 c=10.239 alpha=90.00 beta=90.00 gamma=113.38
Sites, in units of the cell vectors:
Mg 0.000 0.000 0.000
Mg 0.500 0.500 0.259
Os 0.000 0.000 0.464
Cl 0.500 0.500 0.837

=====

The lowest N(E_F) belongs to which entry? BaTeP

=====

What is the formula in the first record? Rb2Na2Sr

=====

Number 4 is which compound? Mg2OsCl